[1]
Computed, not measured: a PBEsol-optimized structure of FeTc2Hg at the meta-GGA SCAN level of DFT.

Structure (POSCAR):
```
FeTc2Hg
1.0
3.790 0.000 0.000
0.000 3.790 0.000
0.000 0.000 4.022
Fe Tc Hg
1 2 1
Direct
0.000 0.000 0.000 Fe
0.000 0.500 0.500 Tc
0.500 0.000 0.500 Tc
0.500 0.500 0.000 Hg
```

Values from the calculation:
The crystal system is tetragonal. The calculation puts the formation energy at 0.449 eV/atom.


[2]
Computed, not measured: a PBEsol-optimized structure of LaFe2Mo2 at the meta-GGA SCAN level of DFT.

Structure (POSCAR):
```
LaFe2Mo2
1.0
4.135 0.000 0.000
0.000 4.135 0.000
0.000 0.000 10.105
La Fe Mo
2 4 4
Direct
0.000 0.000 0.000 La
0.500 0.500 0.500 La
0.000 0.500 0.250 Fe
0.000 0.500 0.750 Fe
0.500 0.000 0.250 Fe
0.500 0.000 0.750 Fe
0.000 0.000 0.365 Mo
0.000 0.000 0.635 Mo
0.500 0.500 0.135 Mo
0.500 0.500 0.865 Mo
```

Values from the calculation:
The crystal system is tetragonal. The calculation puts the formation energy at 0.445 eV/atom.


[3]
Computed, not measured: a PBEsol-optimized structure of BeFe2Os at the meta-GGA SCAN level of DFT.

Structure (POSCAR):
```
BeFe2Os
1.0
2.575 0.000 0.000
-1.287 2.230 0.000
0.000 0.000 23.502
Be Fe Os
3 6 3
Direct
0.000 0.000 0.000 Be
0.333 0.667 0.667 Be
0.667 0.333 0.333 Be
0.000 0.000 0.256 Fe
0.000 0.000 0.744 Fe
0.333 0.667 0.411 Fe
0.333 0.667 0.922 Fe
0.667 0.333 0.078 Fe
0.667 0.333 0.589 Fe
0.000 0.000 0.500 Os
0.333 0.667 0.167 Os
0.667 0.333 0.833 Os
```

Values from the calculation:
The crystal system is trigonal. The calculation puts the formation energy at 0.131 eV/atom.


[4]
Computed, not measured: a PBEsol-optimized structure of FeCu2Te at the meta-GGA SCAN level of DFT.

Structure (POSCAR):
```
FeCu2Te
1.0
3.783 0.000 0.000
0.000 3.783 0.000
0.000 0.000 7.806
Fe Cu Te
2 4 2
Direct
0.000 0.000 0.000 Fe
0.500 0.500 0.500 Fe
0.000 0.000 0.500 Cu
0.000 0.500 0.250 Cu
0.500 0.000 0.750 Cu
0.500 0.500 0.000 Cu
0.000 0.500 0.750 Te
0.500 0.000 0.250 Te
```

Values from the calculation:
The total energy comes out at -21.185 eV per atom. The crystal system is tetragonal.


[5]
Computed, not measured: a PBEsol-optimized structure of Al2CuNi3 at the meta-GGA SCAN level of DFT.

Structure (POSCAR):
```
Al2CuNi3
1.0
4.793 0.000 0.000
-2.396 4.151 0.000
0.000 0.000 3.891
Al Cu Ni
2 1 3
Direct
0.333 0.667 0.000 Al
0.667 0.333 0.000 Al
0.000 0.000 0.000 Cu
0.000 0.500 0.500 Ni
0.500 0.000 0.500 Ni
0.500 0.500 0.500 Ni
```

Values from the calculation:
The value obtained for the distance to the lowest polymorph of the same formula is 0.3468 eV/atom. The crystal system is hexagonal. The calculation puts the formation energy at -0.146 eV/atom.


[6]
Computed, not measured: a PBEsol-optimized structure of KSrTl2 at the meta-GGA SCAN level of DFT.

Structure (POSCAR):
```
KSrTl2
1.0
3.863 0.000 0.000
-1.932 3.346 0.000
0.000 0.000 33.090
K Sr Tl
3 3 6
Direct
0.000 0.000 0.000 K
0.333 0.667 0.667 K
0.667 0.333 0.333 K
0.000 0.000 0.500 Sr
0.333 0.667 0.167 Sr
0.667 0.333 0.833 Sr
0.000 0.000 0.246 Tl
0.000 0.000 0.754 Tl
0.333 0.667 0.421 Tl
0.333 0.667 0.912 Tl
0.667 0.333 0.088 Tl
0.667 0.333 0.579 Tl
```

Values from the calculation:
The value obtained for the distance to the lowest polymorph of the same formula is 0.2038 eV/atom. The crystal system is trigonal. The calculation puts the formation energy at -0.159 eV/atom.


[7]
Computed, not measured: a PBEsol-optimized structure of KSb2F at the meta-GGA SCAN level of DFT.

Structure (POSCAR):
```
KSb2F
1.0
7.246 0.000 0.000
0.000 7.246 0.000
0.000 0.000 7.246
K Sb F
4 8 4
Direct
0.000 0.000 0.000 K
0.000 0.500 0.500 K
0.500 0.000 0.500 K
0.500 0.500 0.000 K
0.250 0.250 0.250 Sb
0.250 0.250 0.750 Sb
0.250 0.750 0.250 Sb
0.250 0.750 0.750 Sb
0.750 0.250 0.250 Sb
0.750 0.250 0.750 Sb
0.750 0.750 0.250 Sb
0.750 0.750 0.750 Sb
0.000 0.000 0.500 F
0.000 0.500 0.000 F
0.500 0.000 0.000 F
0.500 0.500 0.500 F
```

Values from the calculation:
The total energy comes out at -21.725 eV per atom. The crystal system is cubic.


[8]
Computed, not measured: a PBEsol-optimized structure of KPtW3 at the meta-GGA SCAN level of DFT.

Structure (POSCAR):
```
KPtW3
1.0
4.374 0.000 0.000
0.000 4.374 0.000
0.000 0.000 4.374
K Pt W
1 1 3
Direct
0.000 0.000 0.000 K
0.500 0.500 0.500 Pt
0.000 0.000 0.500 W
0.000 0.500 0.000 W
0.500 0.000 0.000 W
```

Values from the calculation:
The crystal system is cubic. The calculation puts the formation energy at 3.732 eV/atom.


Ordered DOS(E_F) results: 0.695 0.902 0.855 0.523 0.792 0.562 0.489 0.673; unit states/eV/atom.
Ordered total magnetization results: 2.3 2.4 13.6 4.7 0.0 0.0 0.0 0.0; unit μB per cell.